1.
A relaxed ScNiAg crystal. Source: Alexandria, functional PBE.

```
ScNiAg
1.0
3.199 0.000 0.000
-1.599 2.770 0.000
0.000 0.000 6.042
Sc Ni Ag
1 1 1
direct
0.000 0.000 0.000 Sc
0.333 0.667 0.717 Ni
0.667 0.333 0.389 Ag
```

Values from the calculation:
- SG = P3m1 (156)
- energy relative to the elements (eV per atom) = 0.02
- E_tot (eV per formula unit) = -14.9
- calculated volume (A^3/atom) = 17.8
- E above lowest polymorph (eV per formula unit) = 0.87
- M_tot (μB per atom) = 0.000

2.
A relaxed ScNiAg crystal. Source: Alexandria, functional PBE.

```
ScNiAg
1.0
4.422 0.000 0.000
-2.211 3.830 0.000
0.000 0.000 3.038
Sc Ni Ag
1 1 1
direct
0.000 0.000 0.000 Sc
0.333 0.667 0.500 Ni
0.667 0.333 0.500 Ag
```

Values from the calculation:
- SG = P-6m2 (187)
- energy relative to the elements (eV per atom) = -0.14
- E_tot (eV per formula unit) = -15.4
- calculated volume (A^3/atom) = 17.1
- E above lowest polymorph (eV per formula unit) = 0.37
- M_tot (μB per atom) = 0.000

3.
A relaxed Sc2Ni2Ag crystal. Source: Alexandria, functional PBE.

```
Sc2Ni2Ag
1.0
7.530 0.000 0.000
0.000 7.530 0.000
0.000 0.000 3.006
Sc Ni Ag
4 4 2
direct
0.153 0.347 0.000 Sc
0.347 0.847 0.000 Sc
0.653 0.153 0.000 Sc
0.847 0.653 0.000 Sc
0.136 0.636 0.500 Ni
0.364 0.136 0.500 Ni
0.636 0.864 0.500 Ni
0.864 0.364 0.500 Ni
0.000 0.000 0.000 Ag
0.500 0.500 0.000 Ag
```

Values from the calculation:
- SG = P4/mbm (127)
- energy relative to the elements (eV per atom) = -0.20
- E_tot (eV per formula unit) = -28.1
- calculated volume (A^3/atom) = 17.0
- E above lowest polymorph (eV per formula unit) = 1.11
- M_tot (μB per atom) = 0.000

4.
A relaxed ScNiAg crystal. Source: Alexandria, functional PBE.

```
ScNiAg
1.0
6.096 0.000 0.000
0.000 6.096 0.000
0.000 0.000 6.096
Sc Ni Ag
4 4 4
direct
0.000 0.000 0.000 Sc
0.000 0.500 0.500 Sc
0.500 0.000 0.500 Sc
0.500 0.500 0.000 Sc
0.250 0.250 0.750 Ni
0.250 0.750 0.250 Ni
0.750 0.250 0.250 Ni
0.750 0.750 0.750 Ni
0.000 0.000 0.500 Ag
0.000 0.500 0.000 Ag
0.500 0.000 0.000 Ag
0.500 0.500 0.500 Ag
```

Values from the calculation:
- SG = F-43m (216)
- energy relative to the elements (eV per atom) = -0.11
- E_tot (eV per formula unit) = -15.3
- calculated volume (A^3/atom) = 18.9
- E above lowest polymorph (eV per formula unit) = 0.48
- M_tot (μB per atom) = 0.000

5.
A relaxed ScNiAg crystal. Source: Alexandria, functional PBE.

```
ScNiAg
1.0
3.332 0.000 0.000
0.000 3.332 0.000
0.000 0.000 9.022
Sc Ni Ag
2 2 2
direct
0.000 0.000 0.000 Sc
0.500 0.500 0.500 Sc
0.000 0.000 0.358 Ni
0.500 0.500 0.858 Ni
0.000 0.000 0.688 Ag
0.500 0.500 0.188 Ag
```

Values from the calculation:
- SG = I4mm (107)
- energy relative to the elements (eV per atom) = -0.27
- E_tot (eV per formula unit) = -15.8
- calculated volume (A^3/atom) = 16.7
- E above lowest polymorph (eV per formula unit) = 0.00
- M_tot (μB per atom) = 0.000

6.
A relaxed Sc8NiAg2 crystal. Source: Alexandria, functional PBE.

```
Sc8NiAg2
1.0
8.020 -2.439 0.000
8.020 2.439 0.000
-2.115 0.000 6.064
Sc Ni Ag
8 1 2
direct
0.025 0.025 0.288 Sc
0.197 0.197 0.792 Sc
0.342 0.342 0.541 Sc
0.407 0.407 0.069 Sc
0.593 0.593 0.931 Sc
0.658 0.658 0.459 Sc
0.803 0.803 0.208 Sc
0.975 0.975 0.712 Sc
0.500 0.500 0.500 Ni
0.183 0.183 0.204 Ag
0.817 0.817 0.796 Ag
```

Values from the calculation:
- SG = C2/m (12)
- energy relative to the elements (eV per atom) = -0.17
- E_tot (eV per formula unit) = -64.0
- calculated volume (A^3/atom) = 21.6
- E above lowest polymorph (eV per formula unit) = 0.00
- M_tot (μB per atom) = 0.000